(1)
First-principles (PBE) data for a geometry-optimized Cs3Pu2Cl4F3 structure, as listed in Alexandria.

## Properties
Formation energy without anion corrections (eV/f.u.): -27.91

Cell lengths 5.7322, 4.6930, 14.4259 Å; angles 99.36, 101.46, 90.00 degrees
Closest atoms and distances in Å follow each position.
Sites, in units of the cell vectors:
Cl  0.1861  0.1863  0.3725  1 Pu 2.96
Cl  0.8136  0.8137  0.6275  1 Pu 2.96
Cl  0.6078  0.0963  0.1927  2 Pu 2.90-2.91
Cl  0.4152  0.9037  0.8073  2 Pu 2.90-2.91
Cs  0.5152  0.5000  0.0000  4 F 3.08-3.26
Cs  0.6843  0.6880  0.3760  7 Cl 3.47-3.72
Cs  0.3083  0.3120  0.6240  7 Cl 3.47-3.72
F  0.1255  0.5689  0.1378  2 Pu 2.38
F  0.8633  0.0000  0.0000  2 Pu 2.38
F  0.9878  0.4311  0.8622  2 Pu 2.38
Pu  0.9304  0.9200  0.8400  3 F 2.38
Pu  0.0904  0.0800  0.1600  3 F 2.38



(2)
First-principles (PBE) data for a geometry-optimized Cs4Pu3ClF12 structure, as listed in Alexandria.

## Properties
Formation energy without anion corrections (eV/f.u.): -59.22

Cell lengths 8.5452, 8.5452, 8.5452 Å; angles 109.47, 109.47, 109.47 degrees
Closest atoms and distances in Å follow each position.
Sites, in units of the cell vectors:
Cs  0.5000  0.5000  0.5000  12 F 3.49-3.51
Cs  0.0000  0.5000  0.0000  12 F 3.49-3.51
Cs  0.0000  0.0000  0.5000  12 F 3.49-3.51
Cs  0.5000  0.0000  0.0000  12 F 3.49-3.51
F  0.7500  0.2500  0.5000  2 Pu 2.47
F  0.5000  0.2500  0.7500  2 Pu 2.47
F  0.2500  0.5000  0.7500  2 Pu 2.47
F  0.0000  0.7130  0.7130  1 Pu 2.10
F  0.7130  0.7130  0.0000  1 Pu 2.10
F  0.7500  0.5000  0.2500  2 Pu 2.47
F  0.0000  0.2870  0.2870  1 Pu 2.10
F  0.7130  0.0000  0.7130  1 Pu 2.10
F  0.5000  0.7500  0.2500  2 Pu 2.47
F  0.2870  0.2870  0.0000  1 Pu 2.10
F  0.2870  0.0000  0.2870  1 Pu 2.10
F  0.2500  0.7500  0.5000  2 Pu 2.47
Cl  0.0000  0.0000  0.0000  6 F 2.83
Pu  0.0000  0.5000  0.5000  2 F 2.10
Pu  0.5000  0.0000  0.5000  2 F 2.10
Pu  0.5000  0.5000  0.0000  2 F 2.10



(3)
First-principles (PBE) data for a geometry-optimized CsPuClF3 structure, as listed in Alexandria.

## Properties
Formation energy without anion corrections (eV/f.u.): -18.05

Cell lengths 6.2030, 6.6949, 8.9525 Å; angles 54.48, 79.69, 77.01 degrees
Closest atoms and distances in Å follow each position.
Sites, in units of the cell vectors:
F  0.6527  0.0063  0.6934  1 Pu 2.19
F  0.5586  0.2224  0.9083  2 Pu 2.35
F  0.9598  0.8328  0.1846  2 Pu 2.37-2.38
F  0.3473  0.9937  0.3066  1 Pu 2.19
F  0.4414  0.7776  0.0917  2 Pu 2.35
F  0.0402  0.1672  0.8154  2 Pu 2.37-2.38
Cl  0.8546  0.3354  0.2100  2 Pu 2.89-2.91, 1 F 3.22
Cl  0.1454  0.6646  0.7900  2 Pu 2.89-2.91, 1 F 3.22
Pu  0.2045  0.1314  0.0505  5 F 2.19-2.38
Pu  0.7955  0.8686  0.9495  5 F 2.19-2.38
Cs  0.7109  0.6850  0.5624  5 F 2.93-3.27
Cs  0.2891  0.3150  0.4376  5 F 2.93-3.27



(4)
First-principles (PBE) data for a geometry-optimized CsRb2Cl2F6 structure, as listed in Alexandria.

## Properties
Formation energy without anion corrections (eV/f.u.): -15.87

Cell lengths 7.3850, 7.3850, 6.7932 Å; angles 90.00, 90.00, 120.00 degrees
Closest atoms and distances in Å follow each position.
Sites, in units of the cell vectors:
F  0.0507  0.3701  0.7707  1 Cl 2.14
F  0.9493  0.6299  0.2293  1 Cl 2.14
F  0.6299  0.6806  0.7707  1 Cl 2.14
F  0.6806  0.0507  0.2293  1 Cl 2.14
F  0.3701  0.3194  0.2293  1 Cl 2.14
F  0.3194  0.9493  0.7707  1 Cl 2.14
Cl  0.6667  0.3333  0.2207  3 F 2.14
Cl  0.3333  0.6667  0.7793  3 F 2.14
Rb  0.6667  0.3333  0.7086  3 F 2.74
Rb  0.3333  0.6667  0.2914  3 F 2.74
Cs  0.0000  0.0000  0.0000  6 F 3.00



(5)
First-principles (PBE) data for a geometry-optimized Cs2Rb3Cl3F2 structure, as listed in Alexandria.

## Properties
Formation energy without anion corrections (eV/f.u.): -21.48

Cell lengths 5.2599, 5.2599, 14.2825 Å; angles 100.61, 100.61, 90.00 degrees
Closest atoms and distances in Å follow each position.
Sites, in units of the cell vectors:
Rb  0.8855  0.8855  0.7710  1 F 2.65
Rb  0.1145  0.1145  0.2290  1 F 2.65
Rb  0.5000  0.5000  0.0000  6 Cl 3.39-3.72
Cs  0.2500  0.7500  0.5000  4 F 2.84
Cs  0.7500  0.2500  0.5000  4 F 2.84
Cl  0.3770  0.3770  0.7540  5 Rb 3.39-3.73
Cl  0.6230  0.6230  0.2460  5 Rb 3.39-3.73
Cl  0.0000  0.0000  0.0000  2 Rb 3.16
F  0.7893  0.7893  0.5786  1 Rb 2.65, 4 Cs 2.84
F  0.2107  0.2107  0.4214  1 Rb 2.65, 4 Cs 2.84



(6)
First-principles (PBE) data for a geometry-optimized Cs2RbCl2F6 structure, as listed in Alexandria.

## Properties
Formation energy without anion corrections (eV/f.u.): -16.01

Cell lengths 7.2959, 7.2959, 7.1634 Å; angles 90.00, 90.00, 120.00 degrees
Closest atoms and distances in Å follow each position.
Sites, in units of the cell vectors:
Cl  0.6667  0.3333  0.2116  3 F 2.14
Cl  0.3333  0.6667  0.7884  3 F 2.14
F  0.2834  0.9319  0.7797  1 Cl 2.14
F  0.0681  0.3516  0.7797  1 Cl 2.14
F  0.7166  0.0681  0.2203  1 Cl 2.14
F  0.9319  0.6484  0.2203  1 Cl 2.14
F  0.3516  0.2834  0.2203  1 Cl 2.14
F  0.6484  0.7166  0.7797  1 Cl 2.14
Cs  0.3333  0.6667  0.2973  3 F 2.92
Cs  0.6667  0.3333  0.7027  3 F 2.92
Rb  0.0000  0.0000  0.0000  6 F 2.84



(7)
First-principles (PBE) data for a geometry-optimized CsRbCl2F8 structure, as listed in Alexandria.

## Properties
Formation energy without anion corrections (eV/f.u.): -17.42

Cell lengths 6.2761, 6.2761, 7.3024 Å; angles 115.45, 115.45, 90.00 degrees
Closest atoms and distances in Å follow each position.
Sites, in units of the cell vectors:
F  0.2136  0.4527  0.4874  1 Cl 1.84
F  0.6056  0.7788  0.0085  1 Cl 1.84
F  0.2738  0.0346  0.4874  1 Cl 1.84
F  0.9654  0.7864  0.5126  1 Cl 1.84
F  0.5473  0.7262  0.5126  1 Cl 1.84
F  0.2212  0.5971  0.9915  1 Cl 1.84
F  0.7703  0.3944  0.9915  1 Cl 1.84
F  0.4029  0.2297  0.0085  1 Cl 1.84
Rb  0.0000  0.0000  0.0000  8 F 2.87-3.12
Cl  0.5000  0.5000  0.0000  4 F 1.84
Cl  0.2500  0.7500  0.5000  4 F 1.84
Cs  0.7500  0.2500  0.5000  12 F 3.23-3.58



(8)
First-principles (PBE) data for a geometry-optimized CsRb2ClF structure, as listed in Alexandria.

## Properties
Formation energy without anion corrections (eV/f.u.): -8.10

Cell lengths 5.4457, 5.4457, 7.5602 Å; angles 90.00, 90.00, 90.00 degrees
Closest atoms and distances in Å follow each position.
Sites, in units of the cell vectors:
Cs  0.0000  0.0000  0.5000  2 F 3.78, 4 Cl 3.85
Cl  0.5000  0.5000  0.5000  4 Cs 3.85
Rb  0.5000  0.0000  0.0000  2 F 2.72
Rb  0.0000  0.5000  0.0000  2 F 2.72
F  0.0000  0.0000  0.0000  4 Rb 2.72



(9)
First-principles (PBE) data for a geometry-optimized Cs3Rb2Cl2F4 structure, as listed in Alexandria.

## Properties
Formation energy without anion corrections (eV/f.u.): -23.67

Cell lengths 5.2401, 5.2401, 13.3423 Å; angles 101.32, 101.32, 90.00 degrees
Closest atoms and distances in Å follow each position.
Sites, in units of the cell vectors:
Cs  0.8412  0.8412  0.6824  4 F 3.38, 1 Cl 3.43
Cs  0.0000  0.0000  0.0000  8 F 3.25
Cs  0.1588  0.1588  0.3176  4 F 3.38, 1 Cl 3.43
F  0.4248  0.9248  0.8495  2 Rb 2.62
F  0.9248  0.4248  0.8495  2 Rb 2.62
F  0.0752  0.5752  0.1505  2 Rb 2.62
F  0.5752  0.0752  0.1505  2 Rb 2.62
Rb  0.5814  0.5814  0.1628  4 F 2.62
Rb  0.4186  0.4186  0.8372  4 F 2.62
Cl  0.2927  0.2927  0.5853  1 Rb 3.23, 1 Cs 3.43
Cl  0.7073  0.7073  0.4147  1 Rb 3.23, 1 Cs 3.43



(10)
First-principles (PBE) data for a geometry-optimized Cs2Rb4Cl3F2 structure, as listed in Alexandria.

## Properties
Formation energy without anion corrections (eV/f.u.): -21.56

Cell lengths 5.4028, 5.4028, 16.4747 Å; angles 99.44, 99.44, 90.00 degrees
Closest atoms and distances in Å follow each position.
Sites, in units of the cell vectors:
Rb  0.4292  0.9292  0.8584  2 F 2.74
Rb  0.0708  0.5708  0.1416  2 F 2.74
Rb  0.9292  0.4292  0.8584  2 F 2.74
Rb  0.5708  0.0708  0.1416  2 F 2.74
Cs  0.3198  0.3198  0.6396  1 F 3.03
Cs  0.6802  0.6802  0.3604  1 F 3.04
F  0.4145  0.4145  0.8289  4 Rb 2.74, 1 Cs 3.03
F  0.5855  0.5855  0.1711  4 Rb 2.74, 1 Cs 3.04
Cl  0.8691  0.8691  0.7382  4 Rb 3.32
Cl  0.1309  0.1309  0.2618  4 Rb 3.32
Cl  0.0000  0.0000  0.0000  8 Rb 3.53



(11)
First-principles (PBE) data for a geometry-optimized Cs2ReClF6 structure, as listed in Alexandria.

## Properties
ΔE to the lowest computed polymorph (meV/atom): 105
Formation energy without anion corrections (eV/f.u.): -21.84

Cell lengths 7.0493, 7.0493, 7.0491 Å; angles 60.00, 60.00, 90.00 degrees
Closest atoms and distances in Å follow each position.
Sites, in units of the cell vectors:
F  0.1939  0.1939  0.6122  1 Re 1.93
F  0.8061  0.1939  0.0000  1 Re 1.93
F  0.8061  0.8061  0.0000  1 Re 1.93
F  0.1939  0.1939  0.0000  1 Re 1.93
F  0.8061  0.8061  0.3878  1 Re 1.93
F  0.1939  0.8061  0.0000  1 Re 1.93
Re  0.0000  0.0000  0.0000  6 F 1.93
Cl  0.5000  0.5000  0.0000  6 F 3.05
Cs  0.2500  0.7500  0.5000  12 F 3.57
Cs  0.7500  0.2500  0.5000  12 F 3.57